Compound: Ho4Zn3In
Source: Alexandria via LeMat-Bulk
Functional: PBE
Structure: relaxed

Results
Energy of formation from the pure elements: -0.324 eV per atom
Distance to the lowest polymorph of the same formula: 0.370 eV/f.u.
Electronic total energy: -3.433 eV/atom
Total magnetization: 0.01 μB/f.u.
Space group: Pmm2 (25)

Cell lengths 3.6927, 4.5585, 11.4638 Å; angles 90.00, 90.00, 90.00 degrees
Positions (direct):
In: 0.5000 0.5000 0.0694
Zn: 0.0000 0.0000 0.4316
Zn: 0.5000 0.0000 0.9215
Zn: 0.0000 0.5000 0.5705
Ho: 0.0000 0.5000 0.8361
Ho: 0.5000 0.5000 0.3574
Ho: 0.0000 0.0000 0.1642
Ho: 0.5000 0.0000 0.6492